! PBE Nb2VPd, relaxed; values from VASP
! - Space group: No. 166
! - Formation energy: 0.477 eV per formula unit
! - Calculated density: 8.46 g/cm³
! - Calculated volume: 67 Å³ per cell
! - ΔE to the lowest computed polymorph: 239 meV/atom
&SYSTEM
  ibrav = 0, nat = 4, ntyp = 3
/
ATOMIC_SPECIES
Nb 92.91 Nb.upf
V 50.94 V.upf
Pd 106.42 Pd.upf
CELL_PARAMETERS angstrom
1.5040 0.8683 8.6001
-1.5040 0.8683 8.6001
0.0000 -1.7367 8.6001
ATOMIC_POSITIONS crystal
Nb 0.2459 0.2459 0.2459
Nb 0.7541 0.7541 0.7541
V 0.5000 0.5000 0.5000
Pd 0.0000 0.0000 0.0000